Record 1
The following is a PBE calculation of CsCe3Cl10 after structural relaxation, from Alexandria.

Cell: 10.3826 10.3826 10.3826 Å, 60.00 60.00 60.00°
Sites, in units of the cell vectors:
Cs: 0.2500 0.2500 0.2500
Cs: 0.7500 0.7500 0.7500
Ce: 0.2396 0.2396 0.7604
Ce: 0.2396 0.7604 0.2396
Ce: 0.2396 0.7604 0.7604
Ce: 0.7604 0.2396 0.2396
Ce: 0.7604 0.2396 0.7604
Ce: 0.7604 0.7604 0.2396
Cl: 0.1138 0.1138 0.1138
Cl: 0.1138 0.1138 0.6586
Cl: 0.1138 0.6586 0.1138
Cl: 0.1654 0.5000 0.5000
Cl: 0.1654 0.5000 0.8346
Cl: 0.1654 0.8346 0.5000
Cl: 0.3414 0.8862 0.8862
Cl: 0.5000 0.1654 0.5000
Cl: 0.5000 0.1654 0.8346
Cl: 0.5000 0.5000 0.1654
Cl: 0.5000 0.5000 0.8346
Cl: 0.5000 0.8346 0.1654
Cl: 0.5000 0.8346 0.5000
Cl: 0.6586 0.1138 0.1138
Cl: 0.8346 0.1654 0.5000
Cl: 0.8346 0.5000 0.1654
Cl: 0.8346 0.5000 0.5000
Cl: 0.8862 0.3414 0.8862
Cl: 0.8862 0.8862 0.3414
Cl: 0.8862 0.8862 0.8862

Computed properties:
The value obtained for the raw formation energy is -2187 meV/atom. The symmetry is Fm-3m, No. 225. The mass density comes out at 3809 kg/m3. For the density of states at the Fermi level, the calculation gives 22.9 states/eV/f.u. The calculation puts the total magnetization at 3.00 μB/f.u.


Record 2
The following is a PBE calculation of Cr2HgTeOs after structural relaxation, from Alexandria.

Cell: 5.0242 5.0242 5.0366 Å, 90.00 90.00 90.00°
Sites, in units of the cell vectors:
Cr: 0.0000 0.5000 0.0000
Cr: 0.5000 0.0000 0.0000
Hg: 0.0000 0.0000 0.0000
Te: 0.5000 0.5000 0.5000
Os: 0.0000 0.0000 0.5000

Computed properties:
The value obtained for the raw formation energy is 1751 meV/atom. The symmetry is P4/mmm, No. 123. The mass density comes out at 8129 kg/m3. For the density of states at the Fermi level, the calculation gives 6.2 states/eV/f.u. The calculation puts the total magnetization at 7.41 μB/f.u.


Record 3
The following is a PBE calculation of Ho14MgSc after structural relaxation, from Alexandria.

Cell: 10.7806 6.8018 6.8018 Å, 76.03 90.00 90.00°
Sites, in units of the cell vectors:
Ho: 0.0000 0.0000 0.0000
Ho: 0.0000 0.4418 0.4418
Ho: 0.0000 0.5245 0.9268
Ho: 0.0000 0.9268 0.5245
Ho: 0.2305 0.2242 0.2242
Ho: 0.2554 0.2937 0.7165
Ho: 0.2554 0.7165 0.2937
Ho: 0.2760 0.7897 0.7897
Ho: 0.5000 0.0742 0.4930
Ho: 0.5000 0.4930 0.0742
Ho: 0.7240 0.7897 0.7897
Ho: 0.7446 0.2937 0.7165
Ho: 0.7446 0.7165 0.2937
Ho: 0.7695 0.2242 0.2242
Mg: 0.5000 0.5605 0.5605
Sc: 0.5000 0.0128 0.0128

Computed properties:
The symmetry is Amm2, No. 38. The mass density comes out at 8159 kg/m3. For the density of states at the Fermi level, the calculation gives 24.5 states/eV/f.u. For the formation energy, the calculation gives 74 kJ/mol of formula units. The calculation puts the total magnetization at 0.01 μB/f.u.


Record 4
The following is a PBE calculation of MnPb3S after structural relaxation, from Alexandria.

Cell: 5.0988 5.0988 5.0988 Å, 90.00 90.00 90.00°
Sites, in units of the cell vectors:
Mn: 0.0000 0.0000 0.0000
Pb: 0.0000 0.0000 0.5000
Pb: 0.0000 0.5000 0.0000
Pb: 0.5000 0.0000 0.0000
S: 0.5000 0.5000 0.5000

Computed properties:
The value obtained for the raw formation energy is 273 meV/atom. The symmetry is Pm-3m, No. 221. The mass density comes out at 8876 kg/m3. For the density of states at the Fermi level, the calculation gives 11.5 states/eV/f.u. The calculation puts the total magnetization at 1.00 μB/f.u.


Q: Which value of mass density does entry 4 give?
A: 8876 kg/m3


What did the second record say?
The following is a PBE calculation of Cr2HgTeOs after structural relaxation, from Alexandria.

Cell: 5.0242 5.0242 5.0366 Å, 90.00 90.00 90.00°
Sites, in units of the cell vectors:
Cr: 0.0000 0.5000 0.0000
Cr: 0.5000 0.0000 0.0000
Hg: 0.0000 0.0000 0.0000
Te: 0.5000 0.5000 0.5000
Os: 0.0000 0.0000 0.5000

Computed properties:
The value obtained for the raw formation energy is 1751 meV/atom. The symmetry is P4/mmm, No. 123. The mass density comes out at 8129 kg/m3. For the density of states at the Fermi level, the calculation gives 6.2 states/eV/f.u. The calculation puts the total magnetization at 7.41 μB/f.u.


Q: Which of these has the lowest mass density?
A: CsCe3Cl10


Q: Number 4 is which compound?
A: MnPb3S